Density functional theory data (GGA-PBEsol) for a geometry-optimized Al4CuRu structure.

Structure (POSCAR):
```
Al4CuRu
1.0
-1.4352 3.3060 -3.3968
-4.8120 0.5679 -1.0246
-2.3600 4.1230 1.3996
Al Cu Ru
4 1 1
direct
0.8765 0.3745 0.3745
0.3745 0.3745 0.3745
0.3745 0.8765 0.3745
0.3745 0.3745 0.8765
0.7500 0.7500 0.7500
0.0000 0.0000 0.0000
```

Values from the calculation:
Volume in Å³/atom: 14.32
Energy of formation in eV per atom: 0.114
Magnetization in μB per formula unit: 0.001